Computed, not measured: an optimized crystal structure of TaZn2WO6 at the PBE+U level of DFT.

For the energy above the most stable polymorph in this dataset, the calculation gives 0.239 eV/atom. The value obtained for the total energy is -0.5010 Ry per atom.

The structure belongs to space group Imm2 (No. 44); the cell edges are 5.6455, 8.1280 and 5.9293 Å and the angles 90.00°, 90.00° and 90.00°. The distinct sites, in fractional coordinates, are Ta at (0.0000, 0.0000, 0.0000), Zn at (0.0000, 0.2020, 0.4073), W at (0.0000, 0.5000, 0.0352), O at (0.0000, 0.2399, 0.0618), O at (0.2269, 0.0000, 0.3162) and O at (0.2441, 0.5000, 0.2991).